Record 1
Compound: Y2Co3Ge5
Source: OQMD
Functional: PBE
Structure: optimized geometry

Lattice parameters (Å, degrees): 8.087 8.087 5.749 109.72 109.72 93.35
Element x y z (fractional)
Y  0.094  0.372  0.233
Y  0.372  0.094  0.733
Y  0.628  0.906  0.267
Y  0.906  0.628  0.767
Co  0.040  0.760  0.382
Co  0.240  0.960  0.118
Co  0.497  0.503  0.250
Co  0.503  0.497  0.750
Co  0.760  0.040  0.882
Co  0.960  0.240  0.618
Ge  0.008  0.992  0.750
Ge  0.239  0.424  0.829
Ge  0.272  0.728  0.750
Ge  0.283  0.717  0.250
Ge  0.424  0.239  0.329
Ge  0.576  0.761  0.671
Ge  0.717  0.283  0.750
Ge  0.728  0.272  0.250
Ge  0.761  0.576  0.171
Ge  0.992  0.008  0.250

- SG: C2/c, No. 15
- Total magnetization: 0.00 μB per cell
- Uncorrected energy: -0.465 Ry/atom

Record 2
Compound: NdGdCuTe3
Source: OQMD
Functional: PBE
Structure: optimized geometry

Lattice parameters (Å, degrees): 4.205 11.275 7.445 90.00 105.29 90.00
Element x y z (fractional)
Nd  0.220  0.250  0.467
Nd  0.780  0.750  0.533
Gd  0.000  0.000  0.000
Gd  0.000  0.500  0.000
Cu  0.495  0.250  0.063
Cu  0.505  0.750  0.937
Te  0.111  0.750  0.179
Te  0.359  0.568  0.704
Te  0.359  0.932  0.704
Te  0.641  0.068  0.296
Te  0.641  0.432  0.296
Te  0.889  0.250  0.821

- SG: P2_1/m, No. 11
- Total magnetization: 0.04 μB per cell
- Uncorrected energy: -0.355 Ry/atom

Record 3
Compound: DyBeNO
Source: OQMD
Functional: PBE
Structure: optimized geometry

Lattice parameters (Å, degrees): 3.472 5.370 4.916 90.00 90.00 90.00
Element x y z (fractional)
Dy  0.000  0.227  0.000
Dy  0.000  0.773  0.500
Be  0.500  0.320  0.519
Be  0.500  0.680  0.019
N  0.000  0.190  0.479
N  0.000  0.810  0.979
O  0.500  0.422  0.834
O  0.500  0.578  0.334

- SG: Pmc2_1, No. 26
- Total magnetization: 0.00 μB per cell
- Uncorrected energy: -0.541 Ry/atom

Record 4
Compound: Gd4Co7Ge6
Source: OQMD
Functional: PBE
Structure: optimized geometry

Lattice parameters (Å, degrees): 7.083 7.083 7.083 109.47 109.47 109.47
Element x y z (fractional)
Gd  0.000  0.000  0.500
Gd  0.000  0.500  0.000
Gd  0.500  0.000  0.000
Gd  0.500  0.500  0.500
Co  0.000  0.000  0.000
Co  0.250  0.500  0.750
Co  0.250  0.750  0.500
Co  0.500  0.250  0.750
Co  0.500  0.750  0.250
Co  0.750  0.250  0.500
Co  0.750  0.500  0.250
Ge  0.000  0.330  0.330
Ge  0.000  0.670  0.670
Ge  0.330  0.000  0.330
Ge  0.330  0.330  0.000
Ge  0.670  0.000  0.670
Ge  0.670  0.670  0.000

- SG: Im-3m, No. 229
- Total magnetization: 0.01 μB per cell
- Uncorrected energy: -0.454 Ry/atom

Record 5
Compound: TmSiAg
Source: OQMD
Functional: PBE
Structure: optimized geometry

Lattice parameters (Å, degrees): 7.011 4.163 7.996 90.00 90.00 90.00
Element x y z (fractional)
Tm  0.027  0.250  0.182
Tm  0.473  0.750  0.682
Tm  0.527  0.250  0.318
Tm  0.973  0.750  0.818
Si  0.248  0.750  0.375
Si  0.252  0.250  0.875
Si  0.748  0.750  0.125
Si  0.752  0.250  0.625
Ag  0.144  0.250  0.558
Ag  0.356  0.750  0.058
Ag  0.644  0.250  0.942
Ag  0.856  0.750  0.442

- SG: Pnma, No. 62
- Total magnetization: 0.00 μB per cell
- Uncorrected energy: -0.354 Ry/atom

Record 6
Compound: Li2DyP2Pd
Source: OQMD
Functional: PBE
Structure: optimized geometry

Lattice parameters (Å, degrees): 4.096 4.096 6.403 90.00 90.00 120.00
Element x y z (fractional)
Li  0.333  0.667  0.152
Li  0.667  0.333  0.848
Dy  0.000  0.000  0.500
P  0.333  0.667  0.753
P  0.667  0.333  0.247
Pd  0.000  0.000  0.000

- SG: P-3m1, No. 164
- Total magnetization: 0.00 μB per cell
- Uncorrected energy: -0.361 Ry/atom

Record 7
Compound: NdSe2
Source: OQMD
Functional: PBE
Structure: optimized geometry

Lattice parameters (Å, degrees): 9.100 9.100 9.100 60.00 60.00 60.00
Element x y z (fractional)
Nd  0.125  0.125  0.125
Nd  0.875  0.875  0.875
Se  0.000  0.000  0.000
Se  0.000  0.000  0.500
Se  0.000  0.500  0.000
Se  0.500  0.000  0.000

- SG: Fd-3m, No. 227
- Total magnetization: 2.00 μB per cell
- Uncorrected energy: -0.348 Ry/atom

Record 8
Compound: Y4CuAsN2
Source: OQMD
Functional: PBE
Structure: optimized geometry

Lattice parameters (Å, degrees): 3.569 3.569 13.718 90.00 90.00 120.00
Element x y z (fractional)
Y  0.000  0.000  0.149
Y  0.000  0.000  0.851
Y  0.333  0.667  0.348
Y  0.333  0.667  0.652
Cu  0.333  0.667  0.000
As  0.000  0.000  0.500
N  0.667  0.333  0.256
N  0.667  0.333  0.744

- SG: P-6m2, No. 187
- Total magnetization: 0.68 μB per cell
- Uncorrected energy: -0.545 Ry/atom

Record 9
Compound: Ta2SeS3
Source: OQMD
Functional: PBE
Structure: optimized geometry

Lattice parameters (Å, degrees): 3.366 3.366 22.815 90.00 90.00 60.01
Element x y z (fractional)
Ta  0.000  0.000  0.000
Ta  0.500  0.500  0.497
Se  0.833  0.833  0.573
S  0.333  0.333  0.068
S  0.333  0.333  0.932
S  0.833  0.833  0.430

- SG: Cm, No. 8
- Total magnetization: 0.01 μB per cell
- Uncorrected energy: -0.557 Ry/atom

Record 10
Compound: HoAuSeO
Source: OQMD
Functional: PBE
Structure: optimized geometry

Lattice parameters (Å, degrees): 3.923 3.923 9.446 90.00 90.00 90.00
Element x y z (fractional)
Ho  0.250  0.250  0.116
Ho  0.750  0.750  0.884
Au  0.250  0.750  0.500
Au  0.750  0.250  0.500
Se  0.250  0.250  0.719
Se  0.750  0.750  0.281
O  0.250  0.750  0.000
O  0.750  0.250  0.000

- SG: P4/nmm, No. 129
- Total magnetization: 0.00 μB per cell
- Uncorrected energy: -0.433 Ry/atom

Record 11
Compound: PrNd2Cu2Si4Pd2
Source: OQMD
Functional: PBE
Structure: optimized geometry

Lattice parameters (Å, degrees): 12.583 12.583 12.583 161.03 160.71 27.18
Element x y z (fractional)
Pr  0.000  0.000  0.000
Nd  0.348  0.848  0.500
Nd  0.652  0.152  0.500
Cu  0.249  0.249  0.000
Cu  0.751  0.751  0.000
Si  0.198  0.698  0.500
Si  0.451  0.451  0.000
Si  0.549  0.549  0.000
Si  0.802  0.302  0.500
Pd  0.098  0.598  0.500
Pd  0.902  0.402  0.500

- SG: Immm, No. 71
- Total magnetization: 0.01 μB per cell
- Uncorrected energy: -0.416 Ry/atom

Record 12
Compound: PrSnAuO3
Source: OQMD
Functional: PBE
Structure: optimized geometry

Lattice parameters (Å, degrees): 6.828 6.828 8.369 90.00 90.00 148.53
Element x y z (fractional)
Pr  0.000  0.000  0.000
Pr  0.000  0.000  0.500
Sn  0.316  0.684  0.750
Sn  0.684  0.316  0.250
Au  0.360  0.640  0.250
Au  0.640  0.360  0.750
O  0.091  0.909  0.250
O  0.382  0.618  0.003
O  0.382  0.618  0.497
O  0.618  0.382  0.503
O  0.618  0.382  0.997
O  0.909  0.091  0.750

- SG: Cmcm, No. 63
- Total magnetization: 0.00 μB per cell
- Uncorrected energy: -0.457 Ry/atom

Record 13
Compound: GaIrO4
Source: OQMD
Functional: PBE
Structure: optimized geometry

Lattice parameters (Å, degrees): 6.302 6.302 6.702 104.32 104.32 35.22
Element x y z (fractional)
Ga  0.187  0.187  0.246
Ga  0.813  0.813  0.754
Ir  0.105  0.105  0.696
Ir  0.895  0.895  0.304
O  0.070  0.070  0.391
O  0.105  0.105  0.974
O  0.272  0.272  0.713
O  0.360  0.360  0.299
O  0.640  0.640  0.701
O  0.728  0.728  0.287
O  0.895  0.895  0.026
O  0.930  0.930  0.609

- SG: C2/m, No. 12
- Total magnetization: 1.95 μB per cell
- Uncorrected energy: -0.462 Ry/atom

Record 14
Compound: Hf3TlSe5
Source: OQMD
Functional: PBE
Structure: optimized geometry

Lattice parameters (Å, degrees): 6.129 6.129 7.451 90.00 90.00 120.00
Element x y z (fractional)
Hf  0.000  0.500  0.000
Hf  0.500  0.000  0.000
Hf  0.500  0.500  0.000
Tl  0.000  0.000  0.500
Se  0.000  0.000  0.000
Se  0.333  0.667  0.269
Se  0.333  0.667  0.731
Se  0.667  0.333  0.269
Se  0.667  0.333  0.731

- SG: P6/mmm, No. 191
- Total magnetization: 0.00 μB per cell
- Uncorrected energy: -0.475 Ry/atom

Record 15
Compound: LuZrZnCu
Source: OQMD
Functional: PBE
Structure: optimized geometry

Lattice parameters (Å, degrees): 4.751 4.751 4.751 60.00 60.00 60.00
Element x y z (fractional)
Lu  0.000  0.000  0.000
Zr  0.250  0.250  0.250
Zn  0.500  0.500  0.500
Cu  0.750  0.750  0.750

- SG: F-43m, No. 216
- Energy relative to the elements: 208 meV per atom
- Total magnetization: 1.83 μB per cell
- Uncorrected energy: -0.316 Ry/atom

Record 16
Compound: Lu4Zr2Pb3C3
Source: OQMD
Functional: PBE
Structure: optimized geometry

Lattice parameters (Å, degrees): 6.059 6.059 15.799 101.19 101.19 60.00
Element x y z (fractional)
Lu  0.033  0.191  0.084
Lu  0.133  0.305  0.416
Lu  0.191  0.033  0.584
Lu  0.305  0.133  0.916
Lu  0.695  0.867  0.084
Lu  0.809  0.967  0.416
Lu  0.867  0.695  0.584
Lu  0.967  0.809  0.916
Zr  0.355  0.526  0.077
Zr  0.474  0.645  0.423
Zr  0.526  0.355  0.577
Zr  0.645  0.474  0.923
Pb  0.097  0.903  0.250
Pb  0.264  0.417  0.751
Pb  0.417  0.264  0.251
Pb  0.583  0.736  0.749
Pb  0.736  0.583  0.249
Pb  0.903  0.097  0.750
C  0.000  0.500  0.000
C  0.183  0.658  0.500
C  0.342  0.817  0.000
C  0.500  0.000  0.500
C  0.658  0.183  0.000
C  0.817  0.342  0.500

- SG: C2/c, No. 15
- Total magnetization: 0.00 μB per cell
- Uncorrected energy: -0.497 Ry/atom

Record 17
Compound: NdTmNO
Source: OQMD
Functional: PBE
Structure: optimized geometry

Lattice parameters (Å, degrees): 4.715 4.715 5.905 90.00 90.00 90.00
Element x y z (fractional)
Nd  0.250  0.750  0.000
Nd  0.750  0.250  0.000
Tm  0.250  0.250  0.467
Tm  0.750  0.750  0.533
N  0.250  0.250  0.111
N  0.750  0.750  0.889
O  0.250  0.750  0.500
O  0.750  0.250  0.500

- SG: P4/nmm, No. 129
- Total magnetization: 0.00 μB per cell
- Uncorrected energy: -0.565 Ry/atom

Record 18
Compound: KAgSnSe3
Source: OQMD
Functional: PBE
Structure: optimized geometry

Lattice parameters (Å, degrees): 9.870 4.120 16.308 90.00 90.00 90.00
Element x y z (fractional)
K  0.033  0.250  0.194
K  0.467  0.750  0.694
K  0.533  0.250  0.306
K  0.967  0.750  0.806
Ag  0.202  0.250  0.641
Ag  0.298  0.750  0.141
Ag  0.702  0.250  0.859
Ag  0.798  0.750  0.359
Sn  0.168  0.750  0.444
Sn  0.332  0.250  0.944
Sn  0.668  0.750  0.056
Sn  0.832  0.250  0.556
Se  0.029  0.750  0.595
Se  0.170  0.750  0.002
Se  0.221  0.250  0.797
Se  0.279  0.750  0.297
Se  0.330  0.250  0.502
Se  0.471  0.250  0.095
Se  0.529  0.750  0.905
Se  0.670  0.750  0.498
Se  0.721  0.250  0.703
Se  0.779  0.750  0.203
Se  0.830  0.250  0.998
Se  0.971  0.250  0.405

- SG: Pnma, No. 62
- Uncorrected energy: -0.261 Ry/atom

Record 19
Compound: CdCoBMo
Source: OQMD
Functional: PBE
Structure: optimized geometry

Lattice parameters (Å, degrees): 4.223 4.223 4.223 60.00 60.00 60.00
Element x y z (fractional)
Cd  0.000  0.000  0.000
Co  0.750  0.750  0.750
B  0.500  0.500  0.500
Mo  0.250  0.250  0.250

- SG: F-43m, No. 216
- Total magnetization: 2.17 μB per cell
- Uncorrected energy: -0.400 Ry/atom

Record 20
Compound: GdYTm
Source: OQMD
Functional: PBE
Structure: optimized geometry

Lattice parameters (Å, degrees): 5.408 5.408 5.408 60.00 60.00 60.00
Element x y z (fractional)
Gd  0.000  0.000  0.000
Y  0.500  0.500  0.500
Tm  0.250  0.250  0.250

- SG: F-43m, No. 216
- Energy relative to the elements: 718 meV per atom
- Total magnetization: 0.02 μB per cell
- Uncorrected energy: -0.329 Ry/atom